[1]
Here is CeUPa2 after structural relaxation from Alexandria via LeMat-Bulk. Energies are from GGA-PBE.

Calculated values
DFT formation energy	31	kJ per mole of atoms
distance to the lowest polymorph of the same formula	194	meV per atom
D(E_F)	3.187	states/eV per atom

a b c (Å): 7.2514 7.2514 7.2514
angles (deg): 90.00 90.00 90.00
With the nearest neighbours (Å) after each atom.
Space group Fm-3m (No. 225)
Asymmetric unit:
Ce  0.0000  0.0000  0.0000 x4  8 Pa 3.14
U  0.0000  0.0000  0.5000 x4  8 Pa 3.14
Pa  0.2500  0.2500  0.2500 x8  4 U 3.14, 4 Ce 3.14

=====

[2]
Here is Cd3CuO after structural relaxation from Alexandria via LeMat-Bulk. Energies are from GGA-PBE.

Calculated values
distance to the lowest polymorph of the same formula	0	meV per atom
E_form (uncorrected)	0.04	eV per atom
D(E_F)	0.347	states/eV per atom

a b c (Å): 4.5712 4.5712 4.5712
angles (deg): 90.00 90.00 90.00
With the nearest neighbours (Å) after each atom.
Space group Pm-3m (No. 221)
Asymmetric unit:
Cd  0.0000  0.0000  0.5000 x3  2 O 2.29
Cu  0.5000  0.5000  0.5000 x1  12 Cd 3.23
O  0.0000  0.0000  0.0000 x1  6 Cd 2.29

=====

[3]
Here is BaAs3 after structural relaxation from Alexandria via LeMat-Bulk. Energies are from GGA-PBE.

Calculated values
DFT formation energy	-46	kJ per mole of atoms
D(E_F)	0.095	states/eV per atom

a b c (Å): 5.7305 8.7321 9.5113
angles (deg): 90.00 90.00 90.00
With the nearest neighbours (Å) after each atom.
Space group Pnma (No. 62)
Asymmetric unit:
Ba  0.0704  0.2500  0.0398 x4  8 As 3.31-3.49
As  0.0755  0.2500  0.6393 x4  2 As 2.49
As  0.2347  0.0242  0.7668 x8  1 As 2.49

=====

[4]
Here is Tb5PmSm7 after structural relaxation from Alexandria via LeMat-Bulk. Energies are from GGA-PBE.

Calculated values
DFT formation energy	23	kJ per mole of atoms
D(E_F)	1.691	states/eV per atom

a b c (Å): 6.7261 11.2992 11.7244
angles (deg): 90.00 90.00 90.00
With the nearest neighbours (Å) after each atom.
Space group Imm2 (No. 44)
Asymmetric unit:
Tb  0.0000  0.0000  0.9999 x2  4 Tb 3.15, 4 Sm 3.50-3.51
Tb  0.2338  0.2701  0.5000 x8  2 Tb 3.15, 5 Sm 3.43-3.52
Pm  0.0000  0.5000  0.6947 x2  7 Sm 3.58-3.93, 4 Tb 3.80
Sm  0.0000  0.0000  0.5006 x2  6 Sm 3.36-3.52, 4 Tb 3.43
Sm  0.0000  0.1707  0.2500 x4  5 Tb 3.50-3.51, 5 Sm 3.52-3.86
Sm  0.0000  0.1707  0.7505 x4  5 Tb 3.49-3.52, 4 Sm 3.51-3.86, 1 Pm 3.78
Sm  0.0000  0.5000  0.0004 x2  3 Sm 3.36-3.59, 4 Tb 3.54, 1 Pm 3.58
Sm  0.0000  0.5000  0.3065 x2  7 Sm 3.59-3.93, 4 Tb 3.79

=====

[5]
Here is Pr4N2Cl5 after structural relaxation from Alexandria via LeMat-Bulk. Energies are from GGA-PBE.

Calculated values
E_form (uncorrected)	-1.72	eV per atom
D(E_F)	0.400	states/eV per atom

a b c (Å): 3.7026 8.0321 17.0399
angles (deg): 90.00 90.00 90.00
With the nearest neighbours (Å) after each atom.
Space group Immm (No. 71)
Asymmetric unit:
Pr  0.0000  0.0000  0.1784 x4  1 N 2.34
Pr  0.0000  0.2925  0.5000 x4  4 N 2.59
N  0.0000  0.0000  0.0410 x4  1 N 1.40
Cl  0.0000  0.2143  0.3334 x8  4 Pr 2.91-3.15
Cl  0.0000  0.5000  0.0000 x2  4 Pr 2.99

=====

[6]
Here is MnAsAu2 after structural relaxation from Alexandria via LeMat-Bulk. Energies are from GGA-PBE.

Calculated values
DFT formation energy	5	kJ per mole of atoms
D(E_F)	0.383	states/eV per atom

a b c (Å): 12.0945 2.9882 4.1027
angles (deg): 90.00 99.54 90.00
With the nearest neighbours (Å) after each atom.
Space group C2/m (No. 12)
Asymmetric unit:
Mn  0.0000  0.0000  0.0000 x2  4 As 2.54, 4 Au 2.78
As  0.0000  0.5000  0.5000 x2  4 Mn 2.54, 2 Au 2.76
Au  0.1919  0.5000  0.2191 x4  1 As 2.76, 2 Mn 2.78, 6 Au 2.88-2.99

=====

[7]
Here is TiCuRh3 after structural relaxation from Alexandria via LeMat-Bulk. Energies are from GGA-PBE.

Calculated values
DFT formation energy	6	kJ per mole of atoms
distance to the lowest polymorph of the same formula	0	meV per atom
D(E_F)	0.962	states/eV per atom

a b c (Å): 6.4078 6.4078 4.3341
angles (deg): 90.00 90.00 120.00
With the nearest neighbours (Å) after each atom.
Space group P6_3/mmc (No. 194)
Asymmetric unit:
Ti  0.3333  0.6667  0.2500 x2  6 Rh 2.64
Cu  0.0000  0.0000  0.0000 x2  2 Cu 2.17
Rh  0.1969  0.3939  0.7500 x6  2 Cu 2.44, 2 Rh 2.62, 2 Ti 2.64

=====

[8]
Here is Rb2CuSeCl6 after structural relaxation from Alexandria via LeMat-Bulk. Energies are from GGA-PBE.

Calculated values
E_form (uncorrected)	-0.92	eV per atom
D(E_F)	0.514	states/eV per atom

a b c (Å): 7.4672 7.4672 9.0939
angles (deg): 90.00 90.00 90.00
With the nearest neighbours (Å) after each atom.
Space group I4/mmm (No. 139)
Asymmetric unit:
Rb  0.0000  0.5000  0.2500 x4  12 Cl 3.49-3.73
Cu  0.0000  0.0000  0.0000 x2  2 Cl 2.22
Se  0.0000  0.0000  0.5000 x2  2 Cl 2.33
Cl  0.0000  0.0000  0.2440 x4  1 Cu 2.22, 1 Se 2.33
Cl  0.2391  0.2391  0.0000 x8  1 Cu 2.52, 1 Se 2.76

=====

[9]
Here is Ca2NiP4Ir3 after structural relaxation from Alexandria via LeMat-Bulk. Energies are from GGA-PBE.

Calculated values
DFT formation energy	-76	kJ per mole of atoms
D(E_F)	0.377	states/eV per atom

a b c (Å): 4.1456 4.1456 9.4637
angles (deg): 90.00 90.00 90.00
With the nearest neighbours (Å) after each atom.
Space group P-4m2 (No. 115)
Asymmetric unit:
Ca  0.0000  0.5000  0.2454 x2  8 P 3.11-3.16, 7 Ir 3.17-3.45, 2 Ni 3.18
Ni  0.0000  0.0000  0.5000 x1  4 P 2.41
P  0.0000  0.0000  0.0000 x1  4 Ir 2.36
P  0.0000  0.5000  0.6300 x2  3 Ir 2.38-2.41, 2 Ni 2.41
P  0.5000  0.5000  0.0000 x1  4 Ir 2.36
Ir  0.0000  0.5000  0.8810 x2  5 P 2.36-2.38
Ir  0.5000  0.5000  0.5000 x1  4 P 2.41

=====

[10]
Here is PrThHgPt after structural relaxation from Alexandria via LeMat-Bulk. Energies are from GGA-PBE.

Calculated values
DFT formation energy	-58	kJ per mole of atoms
D(E_F)	0.841	states/eV per atom

a b c (Å): 7.4610 7.4610 7.4610
angles (deg): 90.00 90.00 90.00
With the nearest neighbours (Å) after each atom.
Space group F-43m (No. 216)
Asymmetric unit:
Pr  0.0000  0.0000  0.0000 x4  4 Hg 3.23, 4 Pt 3.23
Th  0.0000  0.0000  0.5000 x4  4 Hg 3.23, 4 Pt 3.23
Hg  0.2500  0.2500  0.7500 x4  4 Th 3.23, 4 Pr 3.23
Pt  0.2500  0.2500  0.2500 x4  4 Th 3.23, 4 Pr 3.23

=====

[11]
Here is NaTl8In2 after structural relaxation from Alexandria via LeMat-Bulk. Energies are from GGA-PBE.

Calculated values
DFT formation energy	-1	kJ per mole of atoms
distance to the lowest polymorph of the same formula	0	meV per atom
D(E_F)	0.442	states/eV per atom

a b c (Å): 18.3584 4.5981 8.0684
angles (deg): 90.00 107.81 90.00
With the nearest neighbours (Å) after each atom.
Space group C2/m (No. 12)
Asymmetric unit:
Na  0.0000  0.0000  0.0000 x2  12 Tl 3.44-3.65
Tl  0.0443  0.5000  0.7279 x4  9 Tl 3.40-3.66, 2 Na 3.44, 1 In 3.71
Tl  0.0956  0.0000  0.4588 x4  3 In 3.33-3.51, 7 Tl 3.43-3.48, 1 Na 3.58
Tl  0.1404  0.5000  0.1869 x4  3 In 3.33-3.45, 2 Na 3.44, 7 Tl 3.45-3.66
Tl  0.1824  0.0000  0.9067 x4  8 Tl 3.38-3.56, 3 In 3.49-3.59, 1 Na 3.65
In  0.2288  0.5000  0.6301 x4  10 Tl 3.33-3.71, 2 In 3.36

=====

[12]
Here is Li2AcTb after structural relaxation from Alexandria via LeMat-Bulk. Energies are from GGA-PBE.

Calculated values
DFT formation energy	15	kJ per mole of atoms
distance to the lowest polymorph of the same formula	14	meV per atom
D(E_F)	1.440	states/eV per atom

a b c (Å): 7.8085 7.8085 7.8085
angles (deg): 90.00 90.00 90.00
With the nearest neighbours (Å) after each atom.
Space group Fm-3m (No. 225)
Asymmetric unit:
Li  0.2500  0.2500  0.2500 x8  4 Ac 3.38, 4 Tb 3.38
Ac  0.0000  0.0000  0.0000 x4  8 Li 3.38
Tb  0.0000  0.0000  0.5000 x4  8 Li 3.38